DFT (PBE-GGA) results for a geometry-optimized SbTeC structure. Values from VASP.

The structure in Quantum ESPRESSO input format:
```
&SYSTEM
  ibrav = 0, nat = 6, ntyp = 3
/
ATOMIC_SPECIES
Sb 121.76 Sb.upf
Te 127.60 Te.upf
C 12.01 C.upf
CELL_PARAMETERS angstrom
4.675 0.000 0.000
0.000 4.149 0.000
-1.344 0.000 8.890
ATOMIC_POSITIONS crystal
Sb 0.000 0.000 0.000
Sb 0.295 0.000 0.733
Te 0.414 0.500 0.100
Te 0.769 0.000 0.442
C 0.020 0.340 0.587
C 0.020 0.660 0.587
```

Output
Calculated total energy (eV per atom): -4.941
Formation energy without anion corrections (eV per atom): 0.555